Record 1
Below is Pa4AsPtSe2 after structural relaxation, with properties calculated at the PBE level.

abc: 7.126 3.950 7.261
angles: 90.00 108.43 90.00
Space group P2/m (No. 10)
Symmetry-distinct sites (fractional):
Pa  0.238  0.000  0.240 (multiplicity 2)
Pa  0.248  0.500  0.749 (multiplicity 2)
As  0.000  0.000  0.500 (multiplicity 1)
Pt  0.000  0.500  0.000 (multiplicity 1)
Se  0.500  0.000  0.000 (multiplicity 1)
Se  0.500  0.500  0.500 (multiplicity 1)

The value obtained for the spin magnetization is 0.0 μB/f.u.

Record 2
Below is Sr2PaAs3Pt4 after structural relaxation, with properties calculated at the PBE level.

abc: 4.329 4.329 11.645
angles: 90.00 90.00 90.00
Space group P-4m2 (No. 115)
Symmetry-distinct sites (fractional):
Sr  0.000  0.500  0.225 (multiplicity 2)
Pa  0.000  0.000  0.500 (multiplicity 1)
As  0.000  0.500  0.880 (multiplicity 2)
As  0.500  0.500  0.500 (multiplicity 1)
Pt  0.000  0.000  0.000 (multiplicity 1)
Pt  0.000  0.500  0.662 (multiplicity 2)
Pt  0.500  0.500  0.000 (multiplicity 1)

The value obtained for the spin magnetization is 0.0 μB/f.u.

Record 3
Below is PuPa2As4 after structural relaxation, with properties calculated at the PBE level.

abc: 4.106 13.635 13.043
angles: 90.00 90.00 90.00
Space group Cmcm (No. 63)
Symmetry-distinct sites (fractional):
Pu  0.000  0.116  0.250 (multiplicity 4)
Pa  0.000  0.367  0.066 (multiplicity 8)
As  0.000  0.000  0.000 (multiplicity 4)
As  0.000  0.266  0.628 (multiplicity 8)
As  0.000  0.467  0.250 (multiplicity 4)

The value obtained for the offset from the most stable computed form is 0.2255 eV/atom. The value obtained for the spin magnetization is 5.2 μB/f.u.

Record 4
Below is Pu5PaAs6 after structural relaxation, with properties calculated at the PBE level.

abc: 7.173 12.424 7.172
angles: 90.00 109.45 90.00
Space group C2/m (No. 12)
Symmetry-distinct sites (fractional):
Pu  0.000  0.000  0.000 (multiplicity 2)
Pu  0.000  0.166  0.500 (multiplicity 4)
Pu  0.000  0.332  0.000 (multiplicity 4)
Pa  0.000  0.500  0.500 (multiplicity 2)
As  0.246  0.500  0.252 (multiplicity 4)
As  0.247  0.335  0.748 (multiplicity 8)

The value obtained for the spin magnetization is 26.7 μB/f.u.

Record 5
Below is Pu3PaAs4 after structural relaxation, with properties calculated at the PBE level.

abc: 8.250 11.691 4.146
angles: 90.00 90.00 90.00
Space group Cmmm (No. 65)
Symmetry-distinct sites (fractional):
Pu  0.000  0.000  0.000 (multiplicity 2)
Pu  0.250  0.250  0.500 (multiplicity 4)
Pa  0.000  0.500  0.000 (multiplicity 2)
As  0.000  0.252  0.000 (multiplicity 4)
As  0.246  0.500  0.500 (multiplicity 4)

The value obtained for the offset from the most stable computed form is 0.0000 eV/atom. The value obtained for the spin magnetization is 16.3 μB/f.u.

Record 6
Below is PuPaAs after structural relaxation, with properties calculated at the PBE level.

abc: 3.887 3.887 8.909
angles: 90.00 90.00 90.00
Space group I4mm (No. 107)
Symmetry-distinct sites (fractional):
Pu  0.000  0.000  0.000 (multiplicity 2)
Pa  0.000  0.000  0.702 (multiplicity 2)
As  0.000  0.000  0.353 (multiplicity 2)

The value obtained for the offset from the most stable computed form is 0.0000 eV/atom. The value obtained for the spin magnetization is 6.2 μB/f.u.

Sequential E output: -8.01 -5.87 -8.23 -10.14 -9.94 -10.09 eV per atom